[1]
# PmPrTl, relaxed, DFT PBE-GGA
# Fermi-level density of states in states/eV per atom: 1.363
# Calculated volume in Å³/cell: 187.0
# DFT total energy in Ry/atom: -0.311
# Relative energy among the computed polymorphs in meV per atom: 0
# Energy of formation from the pure elements in eV per atom: -0.267
data_PmPrTl
_symmetry_space_group_name_H-M 'P 63/m m c'
_symmetry_Int_Tables_number 194
_symmetry_space_group_name_Hall '-P 6c 2c'
_cell_length_a 5.5904
_cell_length_b 5.5904
_cell_length_c 6.9085
_cell_angle_alpha 90.00
_cell_angle_beta 90.00
_cell_angle_gamma 120.00
loop_
_atom_site_label
_atom_site_fract_x
_atom_site_fract_y
_atom_site_fract_z
_atom_site_occupancy
Pm1 0.3333 0.6667 0.2500 1
Pr1 0.0000 0.0000 0.0000 1
Tl1 0.3333 0.6667 0.7500 1

[2]
# Pm4PrTl5, relaxed, DFT PBE-GGA
# Fermi-level density of states in states/eV per atom: 0.827
# Calculated volume in Å³/cell: 294.3
# DFT total energy in Ry/atom: -0.290
# Energy of formation from the pure elements in eV per atom: -0.390
data_Pm4PrTl5
_symmetry_space_group_name_H-M 'P 4/m m m'
_symmetry_Int_Tables_number 123
_symmetry_space_group_name_Hall '-P 4 2'
_cell_length_a 3.8741
_cell_length_b 3.8741
_cell_length_c 19.6059
_cell_angle_alpha 90.00
_cell_angle_beta 90.00
_cell_angle_gamma 90.00
loop_
_atom_site_label
_atom_site_fract_x
_atom_site_fract_y
_atom_site_fract_z
_atom_site_occupancy
Pm1 0.0000 0.0000 0.0992 1
Pm2 0.0000 0.0000 0.2976 1
Pr1 0.0000 0.0000 0.5000 1
Tl1 0.5000 0.5000 0.0000 1
Tl2 0.5000 0.5000 0.1983 1
Tl3 0.5000 0.5000 0.3966 1